(1)
This record from Alexandria describes an optimized crystal structure of Li2Cd2BiO6. The functional is PBE.

Values from the calculation:
* E: -4.655 eV/atom
* crystal system: trigonal
* E_form (uncorrected): -1084 meV per atom
* space group: P-31m (162)
* DOS(E_F): 0.99 states/eV per atom

Geometry as POSCAR:
```
Li2Cd2BiO6
1.0
5.411 0.000 0.000
-2.705 4.686 0.000
0.000 0.000 5.327
Bi Cd O Li
1 2 6 2
Direct
0.000 0.000 0.000
0.667 0.333 0.500
0.333 0.667 0.500
0.000 0.339 0.219
0.339 0.000 0.219
0.000 0.661 0.781
0.339 0.339 0.781
0.661 0.000 0.781
0.661 0.661 0.219
0.333 0.667 0.000
0.667 0.333 0.000
```


(2)
This record from Alexandria describes an optimized crystal structure of Li2Cd2Bi2Pb. The functional is PBE.

Values from the calculation:
* E: -2.642 eV/atom
* formation energy from the elements: -0.20 eV/atom
* crystal system: trigonal
* space group: R-3m (166)
* DOS(E_F): 0.13 states/eV per atom

Geometry as POSCAR:
```
Li2Cd2Bi2Pb
1.0
5.005 0.000 0.000
2.502 4.334 0.000
2.502 1.445 8.463
Pb Li Cd Bi
1 2 2 2
Direct
0.000 0.000 0.000
0.140 0.140 0.581
0.860 0.860 0.419
0.556 0.556 0.332
0.444 0.444 0.668
0.738 0.738 0.786
0.262 0.262 0.214
```


(3)
This record from Alexandria describes an optimized crystal structure of LiPmCdBi. The functional is PBE.

Values from the calculation:
* E: -3.256 eV/atom
* formation energy from the elements: -0.39 eV/atom
* crystal system: cubic
* space group: F-43m (216)
* DOS(E_F): 0.79 states/eV per atom

Geometry as POSCAR:
```
LiPmCdBi
1.0
5.306 0.000 0.000
2.653 4.595 0.000
2.653 1.532 4.332
Li Cd Pm Bi
1 1 1 1
Direct
0.000 0.000 0.000
0.750 0.750 0.750
0.500 0.500 0.500
0.250 0.250 0.250
```


(4)
This record from Alexandria describes an optimized crystal structure of LiPuCdBi. The functional is PBE.

Values from the calculation:
* E: -5.502 eV/atom
* formation energy from the elements: -0.24 eV/atom
* crystal system: cubic
* space group: F-43m (216)
* DOS(E_F): 3.33 states/eV per atom

Geometry as POSCAR:
```
LiPuCdBi
1.0
5.281 0.000 0.000
2.640 4.573 0.000
2.640 1.524 4.312
Li Cd Pu Bi
1 1 1 1
Direct
0.750 0.750 0.750
0.000 0.000 0.000
0.250 0.250 0.250
0.500 0.500 0.500
```